The following is a GGA-PBE calculation of an optimized crystal structure of ReMoC2S, from Alexandria via LeMat-Bulk.

DOS(E_F): 4.460 states/eV per cell
Crystal system: tetragonal
ΔE_f (raw): 2436 meV/atom

POSCAR file:
```
ReMoC2S
1.0
-2.360 2.773 -0.616
-2.933 -2.968 -2.126
-1.649 -0.685 3.232
C S Mo Re
2 1 1 1
direct
0.000 0.000 0.500
0.500 0.000 0.000
0.000 0.000 0.000
0.500 0.500 0.500
0.000 0.500 0.000
```